1.
{"formula": "Rb2H5Au2", "functional": "PBE", "state": "optimized geometry", "lattice_angstrom": [[5.8180, -2.2390, 0.0000], [5.8180, 2.2390, 0.0000], [-2.2185, 0.0000, 5.9161]], "species": ["Rb", "Rb", "H", "H", "H", "H", "H", "Au", "Au"], "frac_coords": [[0.0961, 0.0961, 0.3406], [0.9039, 0.9039, 0.6594], [0.2814, 0.2814, 0.7563], [0.4026, 0.4026, 0.3174], [0.5000, 0.5000, 0.0000], [0.5974, 0.5974, 0.6826], [0.7186, 0.7186, 0.2437], [0.3456, 0.3456, 0.0350], [0.6544, 0.6544, 0.9650]], "dft_energy_ev_per_atom": -2.94, "space_group": "C2/m", "total_magnetization_mub_per_cell": 0.0, "volume_a3_per_cell": 154.1}


2.
{"formula": "Rb8HAu2", "functional": "PBE", "state": "optimized geometry", "lattice_angstrom": [[8.0539, -4.3281, 0.0000], [8.0539, 4.3281, 0.0000], [-0.0107, 0.0000, 9.0370]], "species": ["Rb", "Rb", "Rb", "Rb", "Rb", "Rb", "Rb", "Rb", "H", "Au", "Au"], "frac_coords": [[0.1912, 0.1912, 0.6135], [0.2010, 0.7301, 0.7378], [0.2699, 0.7990, 0.2622], [0.2943, 0.2943, 0.0965], [0.7057, 0.7057, 0.9035], [0.7301, 0.2010, 0.7378], [0.7990, 0.2699, 0.2622], [0.8088, 0.8088, 0.3865], [0.0000, 0.0000, 0.5000], [0.0897, 0.0897, 0.9618], [0.9103, 0.9103, 0.0382]], "dft_energy_ev_per_atom": -1.72, "space_group": "C2/m", "total_magnetization_mub_per_cell": 0.0, "volume_a3_per_cell": 630.0}


3.
{"formula": "Rb2HAu", "functional": "PBE", "state": "optimized geometry", "lattice_angstrom": [[-4.0861, 4.0861, 4.4710], [4.0861, -4.0861, 4.4710], [4.0861, 4.0861, -4.4710]], "species": ["Rb", "Rb", "Rb", "Rb", "H", "H", "Au", "Au"], "frac_coords": [[0.0595, 0.1250, 0.4345], [0.3750, 0.9405, 0.0655], [0.6905, 0.6250, 0.5655], [0.8750, 0.3095, 0.9345], [0.0000, 0.0000, 0.0000], [0.7500, 0.2500, 0.5000], [0.2500, 0.7500, 0.5000], [0.5000, 0.5000, 0.0000]], "e_above_lowest_polymorph_mev_per_atom": 44.9, "dft_energy_ev_per_atom": -2.30, "space_group": "I-42d", "total_magnetization_mub_per_cell": 0.0, "volume_a3_per_cell": 298.6}


4.
{"formula": "Rb2HAu", "functional": "PBE", "state": "optimized geometry", "lattice_angstrom": [[0.0000, 4.0131, 4.0131], [4.0131, 0.0000, 4.0131], [4.0131, 4.0131, 0.0000]], "species": ["Rb", "Rb", "H", "Au"], "frac_coords": [[0.2500, 0.2500, 0.2500], [0.7500, 0.7500, 0.7500], [0.0000, 0.0000, 0.0000], [0.5000, 0.5000, 0.5000]], "e_above_lowest_polymorph_mev_per_atom": 84.3, "dft_energy_ev_per_atom": -2.27, "space_group": "Fm-3m", "total_magnetization_mub_per_cell": 0.0, "volume_a3_per_cell": 129.3}


5.
{"formula": "Rb7HAu4", "functional": "PBE", "state": "optimized geometry", "lattice_angstrom": [[10.9331, -2.6567, 0.0000], [10.9331, 2.6567, 0.0000], [-2.5617, 0.0000, 8.4294]], "species": ["Rb", "Rb", "Rb", "Rb", "Rb", "Rb", "Rb", "H", "Au", "Au", "Au", "Au"], "frac_coords": [[0.0000, 0.0000, 0.0000], [0.2158, 0.2158, 0.6591], [0.3736, 0.3736, 0.0710], [0.4349, 0.4349, 0.6372], [0.5651, 0.5651, 0.3628], [0.6264, 0.6264, 0.9290], [0.7842, 0.7842, 0.3409], [0.5000, 0.5000, 0.0000], [0.0527, 0.0527, 0.6425], [0.1703, 0.1703, 0.2386], [0.8297, 0.8297, 0.7614], [0.9473, 0.9473, 0.3575]], "dft_energy_ev_per_atom": -2.15, "space_group": "C2/m", "total_magnetization_mub_per_cell": 0.0, "volume_a3_per_cell": 489.7}


6.
{"formula": "RbHAu2", "functional": "PBE", "state": "optimized geometry", "lattice_angstrom": [[0.0000, 3.6448, 3.6448], [3.6448, 0.0000, 3.6448], [3.6448, 3.6448, 0.0000]], "species": ["Rb", "H", "Au", "Au"], "frac_coords": [[0.0000, 0.0000, 0.0000], [0.5000, 0.5000, 0.5000], [0.2500, 0.2500, 0.2500], [0.7500, 0.7500, 0.7500]], "e_above_lowest_polymorph_mev_per_atom": 893.2, "dft_energy_ev_per_atom": -1.83, "space_group": "Fm-3m", "total_magnetization_mub_per_cell": 0.0, "volume_a3_per_cell": 96.8}


7.
{"formula": "Rb6HAu", "functional": "PBE", "state": "optimized geometry", "lattice_angstrom": [[4.1975, -7.2576, 0.0000], [4.1975, 7.2576, 0.0000], [-0.0447, 0.0000, 8.1874]], "species": ["Rb", "Rb", "Rb", "Rb", "Rb", "Rb", "H", "Au"], "frac_coords": [[0.9999, 0.3079, 0.2304], [0.0001, 0.6921, 0.7696], [0.3069, 0.3069, 0.7726], [0.3079, 0.9999, 0.2304], [0.6921, 0.0001, 0.7696], [0.6931, 0.6931, 0.2274], [0.0000, 0.0000, 0.0000], [0.0000, 0.0000, 0.5000]], "dft_energy_ev_per_atom": -1.63, "space_group": "C2/m", "total_magnetization_mub_per_cell": 0.0, "volume_a3_per_cell": 498.8}


8.
{"formula": "Rb5H8Au", "functional": "PBE", "state": "optimized geometry", "lattice_angstrom": [[-4.2330, 4.2330, 4.5778], [4.2330, -4.2330, 4.5778], [4.2330, 4.2330, -4.5778]], "species": ["Rb", "Rb", "Rb", "Rb", "Rb", "H", "H", "H", "H", "H", "H", "H", "H", "Au"], "frac_coords": [[0.0000, 0.0000, 0.0000], [0.2812, 0.1169, 0.5752], [0.2940, 0.7188, 0.8357], [0.5417, 0.7060, 0.4248], [0.8831, 0.4583, 0.1643], [0.1912, 0.7818, 0.1806], [0.2182, 0.3988, 0.4094], [0.5549, 0.2385, 0.2935], [0.6012, 0.0106, 0.8194], [0.7386, 0.4451, 0.6836], [0.7615, 0.0550, 0.3164], [0.9450, 0.2614, 0.7065], [0.9894, 0.8088, 0.5906], [0.7500, 0.2500, 0.5000]], "dft_energy_ev_per_atom": -2.59, "space_group": "I-4", "total_magnetization_mub_per_cell": 0.0, "volume_a3_per_cell": 328.1}


9.
{"formula": "RbH2Au", "functional": "PBE", "state": "optimized geometry", "lattice_angstrom": [[-2.9581, 2.9581, 4.0699], [2.9581, -2.9581, 4.0699], [2.9581, 2.9581, -4.0699]], "species": ["Rb", "Rb", "H", "H", "H", "H", "Au", "Au"], "frac_coords": [[0.0000, 0.0000, 0.0000], [0.7500, 0.2500, 0.5000], [0.3198, 0.6250, 0.1948], [0.3750, 0.5698, 0.6948], [0.4302, 0.1250, 0.8052], [0.8750, 0.6802, 0.3052], [0.2500, 0.7500, 0.5000], [0.5000, 0.5000, 0.0000]], "e_above_lowest_polymorph_mev_per_atom": 115.8, "dft_energy_ev_per_atom": -2.87, "space_group": "I-42d", "total_magnetization_mub_per_cell": 0.0, "volume_a3_per_cell": 142.5}


10.
{"formula": "Rb2H3Au", "functional": "PBE", "state": "optimized geometry", "lattice_angstrom": [[0.0000, 4.0806, 9.3255], [4.0113, 0.0000, 9.3255], [4.0113, 4.0806, 0.0000]], "species": ["Rb", "Rb", "Rb", "Rb", "H", "H", "H", "H", "H", "H", "Au", "Au"], "frac_coords": [[0.2327, 0.7673, 0.2327], [0.2500, 0.2500, 0.2500], [0.7500, 0.7500, 0.7500], [0.7673, 0.2327, 0.7673], [0.2159, 0.6003, 0.7841], [0.2693, 0.2693, 0.7307], [0.3997, 0.7841, 0.6003], [0.6003, 0.2159, 0.3997], [0.7307, 0.7307, 0.2693], [0.7841, 0.3997, 0.2159], [0.3636, 0.3636, 0.6364], [0.6364, 0.6364, 0.3636]], "e_above_lowest_polymorph_mev_per_atom": 33.6, "dft_energy_ev_per_atom": -2.71, "space_group": "Fmmm", "total_magnetization_mub_per_cell": 0.0, "volume_a3_per_cell": 305.3}


11.
{"formula": "RbH4Au", "functional": "PBE", "state": "optimized geometry", "lattice_angstrom": [[4.5908, 0.0000, 0.0000], [2.2739, 4.8437, 0.0000], [2.2915, 1.4455, 4.6421]], "species": ["Rb", "H", "H", "H", "H", "Au"], "frac_coords": [[0.0000, 0.0000, 0.0000], [0.3490, 0.8526, 0.4440], [0.3535, 0.4438, 0.8513], [0.6465, 0.5562, 0.1487], [0.6510, 0.1474, 0.5560], [0.5000, 0.5000, 0.5000]], "e_above_lowest_polymorph_mev_per_atom": 0.0, "dft_energy_ev_per_atom": -3.07, "space_group": "P-1", "total_magnetization_mub_per_cell": 0.0, "volume_a3_per_cell": 103.2}


12.
{"formula": "RbH2Au", "functional": "PBE", "state": "optimized geometry", "lattice_angstrom": [[14.6692, 0.0000, 0.0000], [0.0000, 4.8230, 0.0000], [0.0000, 0.0000, 5.5389]], "species": ["Rb", "Rb", "Rb", "Rb", "H", "H", "H", "H", "H", "H", "H", "H", "Au", "Au", "Au", "Au"], "frac_coords": [[0.1273, 0.2500, 0.1830], [0.3727, 0.7500, 0.6830], [0.6273, 0.2500, 0.3170], [0.8727, 0.7500, 0.8170], [0.0636, 0.7500, 0.9254], [0.1920, 0.7500, 0.4321], [0.3080, 0.2500, 0.9321], [0.4364, 0.2500, 0.4254], [0.5636, 0.7500, 0.5746], [0.6920, 0.7500, 0.0679], [0.8080, 0.2500, 0.5679], [0.9364, 0.2500, 0.0746], [0.1270, 0.7500, 0.6776], [0.3730, 0.2500, 0.1776], [0.6270, 0.7500, 0.8224], [0.8730, 0.2500, 0.3224]], "e_above_lowest_polymorph_mev_per_atom": 0.0, "dft_energy_ev_per_atom": -2.99, "space_group": "Pnma", "total_magnetization_mub_per_cell": 0.0, "volume_a3_per_cell": 391.9}


13.
{"formula": "Rb6H8Au", "functional": "PBE", "state": "optimized geometry", "lattice_angstrom": [[4.4158, 2.5494, 5.9067], [-4.4158, 2.5494, 5.9067], [0.0000, -5.0989, 5.9067]], "species": ["Rb", "Rb", "Rb", "Rb", "Rb", "Rb", "H", "H", "H", "H", "H", "H", "H", "H", "Au"], "frac_coords": [[0.0765, 0.7494, 0.4308], [0.2506, 0.5692, 0.9235], [0.4308, 0.0765, 0.7494], [0.5692, 0.9235, 0.2506], [0.7494, 0.4308, 0.0765], [0.9235, 0.2506, 0.5692], [0.0870, 0.4084, 0.7489], [0.2511, 0.9130, 0.5916], [0.4084, 0.7489, 0.0870], [0.4788, 0.4788, 0.4788], [0.5212, 0.5212, 0.5212], [0.5916, 0.2511, 0.9130], [0.7489, 0.0870, 0.4084], [0.9130, 0.5916, 0.2511], [0.0000, 0.0000, 0.0000]], "dft_energy_ev_per_atom": -2.38, "space_group": "R-3", "total_magnetization_mub_per_cell": 0.3, "volume_a3_per_cell": 399.0}


14.
{"formula": "Rb2H6Au", "functional": "PBE", "state": "optimized geometry", "lattice_angstrom": [[5.0826, -3.8514, 0.0000], [5.0826, 3.8514, 0.0000], [-2.3932, 0.0000, 8.8014]], "species": ["Rb", "Rb", "Rb", "Rb", "H", "H", "H", "H", "H", "H", "H", "H", "H", "H", "H", "H", "Au", "Au"], "frac_coords": [[0.1478, 0.6571, 0.6724], [0.3429, 0.8522, 0.3276], [0.6571, 0.1478, 0.6724], [0.8522, 0.3429, 0.3276], [0.0395, 0.0395, 0.0105], [0.0611, 0.4469, 0.0186], [0.1844, 0.1844, 0.5733], [0.3822, 0.3822, 0.3533], [0.4469, 0.0611, 0.0186], [0.4672, 0.4672, 0.0151], [0.5328, 0.5328, 0.9849], [0.5531, 0.9389, 0.9814], [0.6178, 0.6178, 0.6467], [0.8156, 0.8156, 0.4267], [0.9389, 0.5531, 0.9814], [0.9605, 0.9605, 0.9895], [0.3071, 0.3071, 0.1614], [0.6929, 0.6929, 0.8386]], "dft_energy_ev_per_atom": -2.81, "space_group": "C2/m", "total_magnetization_mub_per_cell": 0.0, "volume_a3_per_cell": 344.6}


15.
{"formula": "RbH4Au2", "functional": "PBE", "state": "optimized geometry", "lattice_angstrom": [[3.5701, 0.0000, 0.0000], [0.0092, 5.2117, 0.0000], [0.0458, 2.0684, 5.8040]], "species": ["Rb", "H", "H", "H", "H", "Au", "Au"], "frac_coords": [[0.0000, 0.0000, 0.0000], [0.0007, 0.7460, 0.6134], [0.4974, 0.6125, 0.2546], [0.5026, 0.3875, 0.7454], [0.9993, 0.2540, 0.3866], [0.4992, 0.2727, 0.3962], [0.5008, 0.7273, 0.6038]], "dft_energy_ev_per_atom": -2.94, "space_group": "P-1", "total_magnetization_mub_per_cell": 0.0, "volume_a3_per_cell": 108.0}


16.
{"formula": "RbH6Au2", "functional": "PBE", "state": "optimized geometry", "lattice_angstrom": [[3.2166, -3.5057, 0.0000], [3.2166, 3.5057, 0.0000], [-0.1817, 0.0000, 6.1743]], "species": ["Rb", "H", "H", "H", "H", "H", "H", "Au", "Au"], "frac_coords": [[0.0000, 0.0000, 0.0000], [0.0244, 0.5107, 0.2340], [0.2396, 0.2396, 0.5093], [0.4893, 0.9756, 0.7660], [0.5107, 0.0244, 0.2340], [0.7604, 0.7604, 0.4907], [0.9756, 0.4893, 0.7660], [0.0000, 0.5000, 0.5000], [0.5000, 0.0000, 0.5000]], "dft_energy_ev_per_atom": -3.03, "space_group": "C2/m", "total_magnetization_mub_per_cell": 0.0, "volume_a3_per_cell": 139.2}


17.
{"formula": "Rb2HAu", "functional": "PBE", "state": "optimized geometry", "lattice_angstrom": [[3.9310, -2.2771, 0.0000], [3.9310, 2.2771, 0.0000], [-2.6261, 0.0000, 7.8274]], "species": ["Rb", "Rb", "H", "Au"], "frac_coords": [[0.2384, 0.2384, 0.2128], [0.7616, 0.7616, 0.7872], [0.5000, 0.5000, 0.0000], [0.0000, 0.0000, 0.5000]], "e_above_lowest_polymorph_mev_per_atom": 17.0, "dft_energy_ev_per_atom": -2.33, "space_group": "C2/m", "total_magnetization_mub_per_cell": 0.0, "volume_a3_per_cell": 140.1}


18.
{"formula": "Rb3HAu2", "functional": "PBE", "state": "optimized geometry", "lattice_angstrom": [[13.6027, 0.0000, 0.0000], [0.0000, 4.8035, 0.0000], [0.0000, 0.0000, 14.3086]], "species": ["Rb", "Rb", "Rb", "Rb", "Rb", "Rb", "Rb", "Rb", "Rb", "Rb", "Rb", "Rb", "H", "H", "H", "H", "Au", "Au", "Au", "Au", "Au", "Au", "Au", "Au"], "frac_coords": [[0.0593, 0.2500, 0.1465], [0.1380, 0.7500, 0.5545], [0.2217, 0.2500, 0.7995], [0.2783, 0.7500, 0.2995], [0.3620, 0.2500, 0.0545], [0.4407, 0.7500, 0.6465], [0.5593, 0.2500, 0.3535], [0.6380, 0.7500, 0.9455], [0.7217, 0.2500, 0.7005], [0.7783, 0.7500, 0.2005], [0.8620, 0.2500, 0.4455], [0.9407, 0.7500, 0.8535], [0.2497, 0.2500, 0.2089], [0.2503, 0.7500, 0.7089], [0.7497, 0.2500, 0.2911], [0.7503, 0.7500, 0.7911], [0.0124, 0.7500, 0.3312], [0.1669, 0.7500, 0.9878], [0.3331, 0.2500, 0.4878], [0.4876, 0.2500, 0.8312], [0.5124, 0.7500, 0.1688], [0.6669, 0.7500, 0.5122], [0.8331, 0.2500, 0.0122], [0.9876, 0.2500, 0.6688]], "dft_energy_ev_per_atom": -2.34, "space_group": "Pnma", "total_magnetization_mub_per_cell": 0.1, "volume_a3_per_cell": 934.9}


19.
{"formula": "Rb8H2Au", "functional": "PBE", "state": "optimized geometry", "lattice_angstrom": [[7.1199, -6.2818, 0.0000], [7.1199, 6.2818, 0.0000], [-0.4048, 0.0000, 7.8628]], "species": ["Rb", "Rb", "Rb", "Rb", "Rb", "Rb", "Rb", "Rb", "H", "H", "Au"], "frac_coords": [[0.1068, 0.1068, 0.2543], [0.2001, 0.5661, 0.2374], [0.3040, 0.3040, 0.7136], [0.4339, 0.7999, 0.7626], [0.5661, 0.2001, 0.2374], [0.6960, 0.6960, 0.2864], [0.7999, 0.4339, 0.7626], [0.8932, 0.8932, 0.7457], [0.2959, 0.2959, 0.3603], [0.7041, 0.7041, 0.6397], [0.5000, 0.5000, 0.0000]], "dft_energy_ev_per_atom": -1.66, "space_group": "C2/m", "total_magnetization_mub_per_cell": 0.0, "volume_a3_per_cell": 703.3}


20.
{"formula": "Rb2H3Au", "functional": "PBE", "state": "optimized geometry", "lattice_angstrom": [[5.6353, -3.5318, 0.0000], [5.6353, 3.5318, 0.0000], [-3.9380, 0.0000, 6.8744]], "species": ["Rb", "Rb", "Rb", "Rb", "H", "H", "H", "H", "H", "H", "Au", "Au"], "frac_coords": [[0.0072, 0.6689, 0.8134], [0.3311, 0.9928, 0.6866], [0.6689, 0.0072, 0.3134], [0.9928, 0.3311, 0.1866], [0.1599, 0.8401, 0.2500], [0.3322, 0.3509, 0.0693], [0.3509, 0.3322, 0.5693], [0.6491, 0.6678, 0.4307], [0.6678, 0.6491, 0.9307], [0.8401, 0.1599, 0.7500], [0.4295, 0.5705, 0.2500], [0.5705, 0.4295, 0.7500]], "e_above_lowest_polymorph_mev_per_atom": 0.0, "dft_energy_ev_per_atom": -2.74, "space_group": "C2/c", "total_magnetization_mub_per_cell": 0.0, "volume_a3_per_cell": 273.6}